A plane-wave DFT calculation with PBE-GGA was carried out for a relaxed Sr2P2Ru2N crystal.

Computed properties:
Fermi-level density of states, states/eV per atom: 0.427
Symmetry: C2/m, No. 12
Crystal system: monoclinic
Uncorrected formation energy, meV per atom: -795

```
Sr2P2Ru2N
1.0
5.723 -1.955 0.000
5.723 1.955 0.000
-3.945 0.000 5.901
Sr P Ru N
2 2 2 1
Cartesian
-0.524 0.000 1.849
8.026 0.000 4.053
2.528 0.000 1.544
4.974 0.000 4.358
-0.096 0.000 5.490
7.598 0.000 0.411
5.723 0.000 0.000
```